The following is a PBE-GGA calculation of a relaxed TaTcPb2 crystal, from Alexandria via LeMat-Bulk.

Unit cell a=5.4013 b=5.4013 c=5.4013 alpha=133.16 beta=133.16 gamma=68.41
Element x y z (fractional)
Pb1 0.2500 0.7500 0.5000
Tc1 0.7500 0.2500 0.5000
Pb2 0.0000 0.0000 0.0000
Ta1 0.5000 0.5000 0.0000

Computed properties:
The calculation puts the calculated formation energy at 0.780 eV per atom. The energy above the lowest structure with this stoichiometry comes out at 2.52 eV/f.u. Its mass density is 13.98 Mg/m³. Its total magnetization is 0.00 μB per atom. As for the crystal system: tetragonal.